Density functional theory data (GGA-PBE) for crystalline MgTaOs at its relaxed geometry.

Output
* energy relative to the elements: 17 kJ/mol of atoms
* ΔE to the lowest computed polymorph: 164 meV/atom
* Fermi-level density of states: 1.007 states/eV/atom
* V: 52 Å³/f.u.

Unit cell a=3.144 b=4.730 c=13.870 alpha=90.00 beta=90.00 gamma=90.00
Space group Fmm2 (No. 42)
Asymmetric unit:
Mg: 0.000 0.000 0.000 x4
Ta: 0.000 0.000 0.315 x4
Os: 0.000 0.000 0.664 x4

Density functional theory data (GGA-PBE) for crystalline KAuSe2 at its relaxed geometry.

Output
* Fermi-level density of states: 0.219 states/eV/atom
* V: 94 Å³/f.u.

Unit cell a=3.045 b=5.560 c=5.576 alpha=90.00 beta=90.00 gamma=90.00
Space group Pmm2 (No. 25)
Asymmetric unit:
K: 0.000 0.000 0.000 x1
Au: 0.500 0.500 0.474 x1
Se: 0.500 0.000 0.498 x1
Se: 0.500 0.500 0.973 x1

| no. | uncorrected energy (eV per cell) |
| --- | --- |
| 1 | -96.6 |
| 2 | -12.6 |